Computed, not measured: a relaxed structure of Pr3InHg2 at the PBE level of DFT.

**ΔH_f (0 K)**: -45.3 kJ/mol of atoms
**DOS at the Fermi energy**: 1.214 states/eV per atom
**Energy relative to the lowest polymorph listed for this composition**: 3 meV per atom

a b c (Å): 5.485 16.475 3.885
angles (deg): 90.00 90.00 90.00
Space group Cmmm (No. 65)
Inequivalent atoms, fractional coordinates:
Pr (0.000, 0.000, 0.000) [2 per cell]
Pr (0.000, 0.332, 0.000) [4 per cell]
In (0.000, 0.500, 0.500) [2 per cell]
Hg (0.000, 0.165, 0.500) [4 per cell]